Here is KFeSi2Pb after structural relaxation from Alexandria. Energies are from GGA-PBEsol.

Unit cell a=5.2991 b=5.2991 c=4.6067 alpha=90.00 beta=90.00 gamma=90.00
Fractional positions:
K (0.0000, 0.0000, 0.0000)
Fe (0.0000, 0.0000, 0.5000)
Si (0.0000, 0.5000, 0.0000)
Si (0.5000, 0.0000, 0.0000)
Pb (0.5000, 0.5000, 0.5000)

Uncorrected formation energy   2007 meV per atom



Here is TiNiF3 after structural relaxation from Alexandria. Energies are from GGA-PBEsol.

Unit cell a=3.9640 b=3.9640 c=3.9640 alpha=90.00 beta=90.00 gamma=90.00
Fractional positions:
Ti (0.0000, 0.0000, 0.0000)
Ni (0.5000, 0.5000, 0.5000)
F (0.0000, 0.0000, 0.5000)
F (0.0000, 0.5000, 0.0000)
F (0.5000, 0.0000, 0.0000)

Uncorrected formation energy   -1670 meV per atom



Question: uncorrected formation energy of number 2 (TiNiF3)?
Answer: -1670 meV per atom



Copy entry 1 word for word.
Here is KFeSi2Pb after structural relaxation from Alexandria. Energies are from GGA-PBEsol.

Unit cell a=5.2991 b=5.2991 c=4.6067 alpha=90.00 beta=90.00 gamma=90.00
Fractional positions:
K (0.0000, 0.0000, 0.0000)
Fe (0.0000, 0.0000, 0.5000)
Si (0.0000, 0.5000, 0.0000)
Si (0.5000, 0.0000, 0.0000)
Pb (0.5000, 0.5000, 0.5000)

Uncorrected formation energy   2007 meV per atom



Question: The highest uncorrected formation energy belongs to which entry?
Answer: KFeSi2Pb